A plane-wave DFT calculation with PBE-GGA was carried out for an optimized crystal structure of Hf2GaIrO.

Values from the calculation:
Uncorrected energy, eV/atom: -7.33
D(E_F), states/eV/f.u.: 4.12
Volume, Å³/f.u.: 100
Magnetic moment, Bohr magnetons per cell: 0.0

a b c (Å): 5.194 5.194 3.717
angles (deg): 90.00 90.00 90.00
Space group P4/mmm (No. 123)
Inequivalent atoms, fractional coordinates:
Hf 0.000 0.500 0.000 x2
Ga 0.000 0.000 0.500 x1
Ir 0.500 0.500 0.000 x1
O 0.500 0.500 0.500 x1